a) VASP calculation (PBE) on Ce2BiSb4 after structural relaxation.

Properties
Total moment in μB/f.u.: 1.72
SG: P-4m2 (115)

Cell: 4.3847 4.3847 11.2841 Å, 90.00 90.00 90.00°
Last column: nearest neighbours and their distance in Å.
Element x y z (fractional)
1 Ce 0.0000 0.5000 0.2188  8 Sb 3.21-3.30
2 Ce 0.5000 0.0000 0.7812  8 Sb 3.21-3.30
3 Bi 0.0000 0.0000 0.5000  4 Sb 3.20
4 Sb 0.0000 0.0000 0.0000  4 Sb 3.10, 4 Ce 3.30
5 Sb 0.0000 0.5000 0.7068  2 Bi 3.20, 4 Ce 3.21
6 Sb 0.5000 0.0000 0.2932  2 Bi 3.20, 4 Ce 3.21
7 Sb 0.5000 0.5000 0.0000  4 Sb 3.10, 4 Ce 3.30

b) VASP calculation (PBE) on Ce2BiSb4 after structural relaxation.

Properties
Total moment in μB/f.u.: 0.68
SG: Fmmm (69)

Cell: 6.8712 6.6027 6.5901 Å, 62.78 58.70 58.52°
Last column: nearest neighbours and their distance in Å.
Element x y z (fractional)
1 Ce 0.0000 0.5000 0.5000  8 Sb 3.30, 2 Bi 3.44
2 Ce 0.5000 0.0000 0.0000  8 Sb 3.30, 2 Bi 3.44
3 Bi 0.0000 0.0000 0.0000  8 Sb 3.30, 4 Ce 3.44
4 Sb 0.0000 0.0000 0.5000  2 Bi 3.30, 4 Ce 3.30, 4 Sb 3.44
5 Sb 0.0000 0.5000 0.0000  4 Ce 3.30, 2 Bi 3.30, 4 Sb 3.44
6 Sb 0.5000 0.0000 0.5000  4 Ce 3.30, 2 Bi 3.30, 4 Sb 3.44
7 Sb 0.5000 0.5000 0.0000  2 Bi 3.30, 4 Ce 3.30, 4 Sb 3.44

Relative energies, in eV/atom, with the most stable structure set to zero: a) 0.000; b) 0.023.

a) VASP calculation (PBE) on CeSc2Bi after structural relaxation.

Properties
Total moment in μB/f.u.: 0.26
SG: P4/mmm (123)

Cell: 3.8071 3.8071 7.0304 Å, 90.00 90.00 90.00°
Last column: nearest neighbours and their distance in Å.
Element x y z (fractional)
1 Ce 0.0000 0.0000 0.0000  8 Sc 3.30, 2 Bi 3.52
2 Sc 0.5000 0.5000 0.2710  4 Bi 3.14, 1 Sc 3.22, 4 Ce 3.30
3 Sc 0.5000 0.5000 0.7290  4 Bi 3.14, 1 Sc 3.22, 4 Ce 3.30
4 Bi 0.0000 0.0000 0.5000  8 Sc 3.14

b) VASP calculation (PBE) on CeSc2Bi after structural relaxation.

Properties
Total moment in μB/f.u.: 0.00
SG: R-3m (166)

Cell: 3.2880 3.2880 33.8583 Å, 90.00 90.00 120.00°
Last column: nearest neighbours and their distance in Å.
Element x y z (fractional)
1 Ce 0.0000 0.0000 0.0000  2 Sc 3.07, 6 Ce 3.29
2 Ce 0.3333 0.6667 0.6667  2 Sc 3.07, 6 Ce 3.29
3 Ce 0.6667 0.3333 0.3333  2 Sc 3.07, 6 Ce 3.29
4 Sc 0.0000 0.0000 0.0907  1 Ce 3.07, 3 Bi 3.20, 6 Sc 3.29
5 Sc 0.0000 0.0000 0.9093  1 Ce 3.07, 3 Bi 3.20, 6 Sc 3.29
6 Sc 0.3333 0.6667 0.5760  1 Ce 3.07, 3 Bi 3.20, 6 Sc 3.29
7 Sc 0.3333 0.6667 0.7574  1 Ce 3.07, 3 Bi 3.20, 6 Sc 3.29
8 Sc 0.6667 0.3333 0.2426  1 Ce 3.07, 3 Bi 3.20, 6 Sc 3.29
9 Sc 0.6667 0.3333 0.4240  1 Ce 3.07, 3 Bi 3.20, 6 Sc 3.29
10 Bi 0.0000 0.0000 0.5000  6 Sc 3.20, 6 Bi 3.29
11 Bi 0.3333 0.6667 0.1667  6 Sc 3.20, 6 Bi 3.29
12 Bi 0.6667 0.3333 0.8333  6 Sc 3.20, 6 Bi 3.29

c) VASP calculation (PBE) on CeSc2Bi after structural relaxation.

Properties
Total moment in μB/f.u.: 0.02
SG: P4/mmm (123)

Cell: 4.7644 4.7644 4.4244 Å, 90.00 90.00 90.00°
Last column: nearest neighbours and their distance in Å.
Element x y z (fractional)
1 Ce 0.0000 0.0000 0.0000  8 Sc 3.25, 4 Bi 3.37
2 Sc 0.0000 0.5000 0.5000  4 Ce 3.25, 4 Bi 3.25, 4 Sc 3.37
3 Sc 0.5000 0.0000 0.5000  4 Ce 3.25, 4 Bi 3.25, 4 Sc 3.37
4 Bi 0.5000 0.5000 0.0000  8 Sc 3.25, 4 Ce 3.37

Relative energies, in eV/atom, with the most stable structure set to zero: a) 0.053; b) 0.408; c) 0.000.

a) VASP calculation (PBE) on Ce2ScBi3 after structural relaxation.

Properties
Total moment in μB/f.u.: 1.75
SG: C2/m (12)

Cell: 7.7873 7.7873 7.7864 Å, 99.66 99.66 120.10°
Last column: nearest neighbours and their distance in Å.
Element x y z (fractional)
1 Ce 0.0000 0.0000 0.0000  6 Bi 3.18-3.20
2 Ce 0.1613 0.8387 0.5000  6 Bi 3.21-3.27
3 Ce 0.5000 0.5000 0.5000  6 Bi 3.19-3.26
4 Ce 0.8387 0.1613 0.5000  6 Bi 3.21-3.27
5 Sc 0.3312 0.6688 0.0000  6 Bi 3.07-3.09
6 Sc 0.6688 0.3312 0.0000  6 Bi 3.07-3.09
7 Bi 0.0796 0.4242 0.2379  2 Sc 3.07-3.09, 4 Ce 3.20-3.27
8 Bi 0.2689 0.2689 0.7693  2 Sc 3.08, 4 Ce 3.18-3.25
9 Bi 0.4242 0.0796 0.2379  2 Sc 3.07-3.09, 4 Ce 3.20-3.27
10 Bi 0.5758 0.9204 0.7621  2 Sc 3.07-3.09, 4 Ce 3.20-3.27
11 Bi 0.7311 0.7311 0.2307  2 Sc 3.08, 4 Ce 3.18-3.25
12 Bi 0.9204 0.5758 0.7621  2 Sc 3.07-3.09, 4 Ce 3.20-3.27

b) VASP calculation (PBE) on Ce2ScBi3 after structural relaxation.

Properties
Total moment in μB/f.u.: 2.02
SG: Immm (71)

Cell: 4.1063 5.4874 17.4312 Å, 90.00 90.00 90.00°
Last column: nearest neighbours and their distance in Å.
Element x y z (fractional)
1 Ce 0.0000 0.0000 0.1467  7 Bi 3.20-3.45
2 Ce 0.0000 0.0000 0.8533  7 Bi 3.20-3.45
3 Ce 0.5000 0.5000 0.3533  7 Bi 3.20-3.45
4 Ce 0.5000 0.5000 0.6467  7 Bi 3.20-3.45
5 Sc 0.0000 0.0000 0.5000  4 Bi 2.74-2.96
6 Sc 0.5000 0.5000 0.0000  4 Bi 2.74-2.96
7 Bi 0.0000 0.0000 0.3302  1 Sc 2.96, 1 Ce 3.20
8 Bi 0.0000 0.0000 0.6698  1 Sc 2.96, 1 Ce 3.20
9 Bi 0.0000 0.5000 0.5000  2 Sc 2.74
10 Bi 0.5000 0.0000 0.0000  2 Sc 2.74
11 Bi 0.5000 0.5000 0.1698  1 Sc 2.96, 1 Ce 3.20
12 Bi 0.5000 0.5000 0.8302  1 Sc 2.96, 1 Ce 3.20

Relative energies, in eV/atom, with the most stable structure set to zero: a) 0.000; b) 0.212.

a) VASP calculation (PBE) on CeScBi2 after structural relaxation.

Properties
Total moment in μB/f.u.: 0.90
SG: Cmcm (63)

Cell: 4.3394 24.4277 4.6156 Å, 90.00 90.00 90.00°
Last column: nearest neighbours and their distance in Å.
Element x y z (fractional)
1 Ce 0.0000 0.0617 0.2500  5 Bi 3.17
2 Ce 0.0000 0.9383 0.7500  5 Bi 3.17
3 Ce 0.5000 0.4383 0.7500  5 Bi 3.17
4 Ce 0.5000 0.5617 0.2500  5 Bi 3.17
5 Sc 0.0000 0.3128 0.2500  6 Bi 2.96-3.17
6 Sc 0.0000 0.6872 0.7500  6 Bi 2.96-3.17
7 Sc 0.5000 0.1872 0.7500  6 Bi 2.96-3.17
8 Sc 0.5000 0.8128 0.2500  6 Bi 2.96-3.17
9 Bi 0.0000 0.1915 0.2500  5 Sc 2.96-3.17, 1 Ce 3.17
10 Bi 0.0000 0.4389 0.2500  1 Sc 3.08, 4 Ce 3.17
11 Bi 0.0000 0.5611 0.7500  1 Sc 3.08, 4 Ce 3.17
12 Bi 0.0000 0.8085 0.7500  5 Sc 2.96-3.17, 1 Ce 3.17
13 Bi 0.5000 0.0611 0.7500  1 Sc 3.08, 4 Ce 3.17
14 Bi 0.5000 0.3085 0.7500  5 Sc 2.96-3.17, 1 Ce 3.17
15 Bi 0.5000 0.6915 0.2500  5 Sc 2.96-3.17, 1 Ce 3.17
16 Bi 0.5000 0.9389 0.2500  1 Sc 3.08, 4 Ce 3.17

b) VASP calculation (PBE) on CeScBi2 after structural relaxation.

Properties
Total moment in μB/f.u.: 0.90
SG: R3m (160)

Cell: 4.4145 4.4145 22.5181 Å, 90.00 90.00 120.00°
Last column: nearest neighbours and their distance in Å.
Element x y z (fractional)
1 Ce 0.0000 0.0000 0.0000  6 Bi 3.20-3.25
2 Ce 0.3333 0.6667 0.6667  6 Bi 3.20-3.25
3 Ce 0.6667 0.3333 0.3333  6 Bi 3.20-3.25
4 Sc 0.0000 0.0000 0.1710  6 Bi 3.07-3.14
5 Sc 0.3333 0.6667 0.8377  6 Bi 3.07-3.14
6 Sc 0.6667 0.3333 0.5044  6 Bi 3.07-3.14
7 Bi 0.0000 0.0000 0.4232  3 Sc 3.14, 3 Ce 3.25
8 Bi 0.0000 0.0000 0.5806  3 Sc 3.07, 3 Ce 3.20
9 Bi 0.3333 0.6667 0.0898  3 Sc 3.14, 3 Ce 3.25
10 Bi 0.3333 0.6667 0.2473  3 Sc 3.07, 3 Ce 3.20
11 Bi 0.6667 0.3333 0.7565  3 Sc 3.14, 3 Ce 3.25
12 Bi 0.6667 0.3333 0.9140  3 Sc 3.07, 3 Ce 3.20

c) VASP calculation (PBE) on CeScBi2 after structural relaxation.

Properties
Total moment in μB/f.u.: 0.85
SG: R-3m (166)

Cell: 4.4446 4.4446 21.6065 Å, 90.00 90.00 120.00°
Last column: nearest neighbours and their distance in Å.
Element x y z (fractional)
1 Ce 0.0000 0.0000 0.0000  6 Bi 3.23
2 Ce 0.3333 0.6667 0.6667  6 Bi 3.23
3 Ce 0.6667 0.3333 0.3333  6 Bi 3.23
4 Sc 0.0000 0.0000 0.5000  6 Bi 3.05
5 Sc 0.3333 0.6667 0.1667  6 Bi 3.05
6 Sc 0.6667 0.3333 0.8333  6 Bi 3.05
7 Bi 0.0000 0.0000 0.2429  3 Sc 3.05, 3 Ce 3.23
8 Bi 0.0000 0.0000 0.7571  3 Sc 3.05, 3 Ce 3.23
9 Bi 0.3333 0.6667 0.4238  3 Sc 3.05, 3 Ce 3.23
10 Bi 0.3333 0.6667 0.9095  3 Sc 3.05, 3 Ce 3.23
11 Bi 0.6667 0.3333 0.0905  3 Sc 3.05, 3 Ce 3.23
12 Bi 0.6667 0.3333 0.5762  3 Sc 3.05, 3 Ce 3.23

d) VASP calculation (PBE) on CeScBi2 after structural relaxation.

Properties
Total moment in μB/f.u.: 1.54
SG: P4/mmm (123)

Cell: 5.2788 5.2788 4.0493 Å, 90.00 90.00 90.00°
Last column: nearest neighbours and their distance in Å.
Element x y z (fractional)
1 Ce 0.0000 0.0000 0.0000  8 Bi 3.33
2 Sc 0.5000 0.5000 0.0000  8 Bi 3.33
3 Bi 0.0000 0.5000 0.5000  4 Ce 3.33, 4 Sc 3.33
4 Bi 0.5000 0.0000 0.5000  4 Ce 3.33, 4 Sc 3.33

Relative energies, in eV/atom, with the most stable structure set to zero: a) 0.089; b) 0.107; c) 0.000; d) 0.189.

a) VASP calculation (PBE) on Ce2ScBi after structural relaxation.

Properties
Total moment in μB/f.u.: 0.85
SG: P2_1/m (11)

Cell: 5.8498 5.4124 6.6795 Å, 90.00 95.28 90.00°
Last column: nearest neighbours and their distance in Å.
Element x y z (fractional)
1 Ce 0.1071 0.2500 0.4561  1 Ce 2.68
2 Ce 0.3278 0.7500 0.7117  1 Ce 2.68
3 Ce 0.6722 0.2500 0.2883  1 Ce 2.68
4 Ce 0.8929 0.7500 0.5439  1 Ce 2.68
5 Sc 0.1581 0.2500 0.9754  4 Bi 3.08-3.29, 3 Ce 3.25-3.43, 2 Sc 3.31
6 Sc 0.8419 0.7500 0.0246  4 Bi 3.08-3.29, 3 Ce 3.25-3.43, 2 Sc 3.31
7 Bi 0.3419 0.7500 0.2141  4 Sc 3.08-3.29, 4 Ce 3.33-3.35
8 Bi 0.6581 0.2500 0.7859  4 Sc 3.08-3.29, 4 Ce 3.33-3.35

b) VASP calculation (PBE) on Ce2ScBi after structural relaxation.

Properties
Total moment in μB/f.u.: 2.09
SG: R-3m (166)

Cell: 3.3806 3.3806 36.0630 Å, 90.00 90.00 120.00°
Last column: nearest neighbours and their distance in Å.
Element x y z (fractional)
1 Ce 0.0000 0.0000 0.0906  1 Bi 3.27, 3 Sc 3.37, 6 Ce 3.38
2 Ce 0.0000 0.0000 0.9094  1 Bi 3.27, 3 Sc 3.37, 6 Ce 3.38
3 Ce 0.3333 0.6667 0.5761  1 Bi 3.27, 3 Sc 3.37, 6 Ce 3.38
4 Ce 0.3333 0.6667 0.7572  1 Bi 3.27, 3 Sc 3.37, 6 Ce 3.38
5 Ce 0.6667 0.3333 0.2428  1 Bi 3.27, 3 Sc 3.37, 6 Ce 3.38
6 Ce 0.6667 0.3333 0.4239  1 Bi 3.27, 3 Sc 3.37, 6 Ce 3.38
7 Sc 0.0000 0.0000 0.5000  6 Ce 3.37, 6 Sc 3.38
8 Sc 0.3333 0.6667 0.1667  6 Ce 3.37, 6 Sc 3.38
9 Sc 0.6667 0.3333 0.8333  6 Ce 3.37, 6 Sc 3.38
10 Bi 0.0000 0.0000 0.0000  2 Ce 3.27, 6 Bi 3.38
11 Bi 0.3333 0.6667 0.6667  2 Ce 3.27, 6 Bi 3.38
12 Bi 0.6667 0.3333 0.3333  2 Ce 3.27, 6 Bi 3.38

Relative energies, in eV/atom, with the most stable structure set to zero: a) 0.000; b) 0.415.

a) VASP calculation (PBE) on Ce2ScBi after structural relaxation.

Properties
Total moment in μB/f.u.: 0.74
SG: P4/mmm (123)

Cell: 4.4737 4.4737 5.1835 Å, 90.00 90.00 90.00°
Last column: nearest neighbours and their distance in Å.
Element x y z (fractional)
1 Ce 0.0000 0.5000 0.0000  4 Ce 3.16, 4 Bi 3.42, 4 Sc 3.42
2 Ce 0.5000 0.0000 0.0000  4 Ce 3.16, 4 Bi 3.42, 4 Sc 3.42
3 Sc 0.0000 0.0000 0.5000  4 Bi 3.16, 8 Ce 3.42
4 Bi 0.5000 0.5000 0.5000  4 Sc 3.16, 8 Ce 3.42

b) VASP calculation (PBE) on Ce2ScBi after structural relaxation.

Properties
Total moment in μB/f.u.: 0.00
SG: P2_1/m (11)

Cell: 4.3553 4.3128 11.4817 Å, 90.00 100.64 90.00°
Last column: nearest neighbours and their distance in Å.
Element x y z (fractional)
1 Ce 0.0087 0.2500 0.1232  2 Ce 2.81
2 Ce 0.4077 0.2500 0.8858  2 Ce 2.81
3 Ce 0.5923 0.7500 0.1142  2 Ce 2.81
4 Ce 0.9913 0.7500 0.8768  2 Ce 2.81
5 Sc 0.3072 0.7500 0.6169  5 Bi 3.01-3.10
6 Sc 0.6928 0.2500 0.3831  5 Bi 3.01-3.10
7 Bi 0.1812 0.7500 0.3502  5 Sc 3.01-3.10, 3 Ce 3.36-3.37
8 Bi 0.8188 0.2500 0.6498  5 Sc 3.01-3.10, 3 Ce 3.36-3.37

Relative energies, in eV/atom, with the most stable structure set to zero: a) 0.000; b) 0.027.